Compound: As2PdSeS
Source: the Alexandria database
Functional: PBE
Structure: relaxed

The structure in POSCAR format:
```
As2PdSeS
1.0
4.780 0.000 0.000
0.000 4.780 0.000
0.000 0.000 4.718
As Pd Se S
2 1 1 1
Direct
0.000 0.500 0.000 As
0.500 0.000 0.000 As
0.000 0.000 0.500 Pd
0.500 0.500 0.500 Se
0.500 0.500 0.000 S
```

Values from the calculation:
* ΔE_f (raw): 0.785 eV per atom
* space group: P4/mmm


Compound: CsHg4Pb
Source: the Alexandria database
Functional: PBE
Structure: relaxed

The structure in POSCAR format:
```
CsHg4Pb
1.0
8.344 0.000 0.000
0.000 5.474 0.000
0.000 0.000 9.224
Cs Hg Pb
2 8 2
Direct
0.250 0.000 0.147 Cs
0.750 0.000 0.853 Cs
0.000 0.000 0.500 Hg
0.064 0.500 0.835 Hg
0.250 0.500 0.438 Hg
0.436 0.500 0.835 Hg
0.500 0.000 0.500 Hg
0.564 0.500 0.165 Hg
0.750 0.500 0.562 Hg
0.936 0.500 0.165 Hg
0.250 0.000 0.726 Pb
0.750 0.000 0.274 Pb
```

Values from the calculation:
* space group: Pmma


How do the records compare in ΔE to the lowest computed polymorph? In the order shown, they have 6 9 meV/atom.